Density functional theory data (PBE) for a relaxed InSb2P crystal.

a = 3.5655 Å, b = 5.5858 Å, c = 10.0333 Å
α = 90.00°, β = 90.00°, γ = 90.00°
Space group Cmmm (No. 65)
Inequivalent atoms, fractional coordinates:
In: 0.0000 0.0000 0.0000 x2
Sb: 0.0000 0.5000 0.2931 x4
P: 0.0000 0.0000 0.5000 x2

Values from the calculation:
Uncorrected formation energy = 7.389 kcal/mol of atoms
DOS at the Fermi energy = 3.4 states/eV/cell
Crystal system = orthorhombic

---

Density functional theory data (PBE) for a relaxed CsCaCd2 crystal.

a = 8.4700 Å, b = 8.4700 Å, c = 8.4700 Å
α = 90.00°, β = 90.00°, γ = 90.00°
Space group Fm-3m (No. 225)
Inequivalent atoms, fractional coordinates:
Cs: 0.0000 0.0000 0.0000 x4
Ca: 0.0000 0.0000 0.5000 x4
Cd: 0.2500 0.2500 0.2500 x8

Values from the calculation:
DOS at the Fermi energy = 16.7 states/eV/cell
Formation energy from the elements = 0.041 eV per atom
Crystal system = cubic

---

Density functional theory data (PBE) for a relaxed AcLaTb2Nd6 crystal.

a = 9.3964 Å, b = 15.6508 Å, c = 9.9481 Å
α = 90.00°, β = 96.65°, γ = 90.00°
Space group C2/c (No. 15)
Inequivalent atoms, fractional coordinates:
Ac: 0.0000 0.0290 0.2500 x4
La: 0.0000 0.4076 0.7500 x4
Tb: 0.2504 0.0549 0.5458 x8
Nd: 0.0672 0.1837 0.9449 x8
Nd: 0.0995 0.3937 0.1206 x8
Nd: 0.2101 0.2316 0.3214 x8

Values from the calculation:
DOS at the Fermi energy = 58.1 states/eV/cell
Formation energy from the elements = 0.116 eV per atom
Crystal system = monoclinic

---

Density functional theory data (PBE) for a relaxed CaMgAl crystal.

a = 3.4943 Å, b = 3.4943 Å, c = 12.2468 Å
α = 90.00°, β = 90.00°, γ = 90.00°
Space group I4mm (No. 107)
Inequivalent atoms, fractional coordinates:
Ca: 0.0000 0.0000 0.0000 x2
Mg: 0.0000 0.0000 0.6979 x2
Al: 0.0000 0.0000 0.3291 x2

Values from the calculation:
DOS at the Fermi energy = 3.3 states/eV/cell
Formation energy from the elements = -0.089 eV per atom
Crystal system = tetragonal

---

Density functional theory data (PBE) for a relaxed TiMn2NiSb crystal.

a = 4.5492 Å, b = 4.5492 Å, c = 4.6306 Å
α = 90.00°, β = 90.00°, γ = 90.00°
Space group P4/mmm (No. 123)
Inequivalent atoms, fractional coordinates:
Ti: 0.0000 0.0000 0.0000 x1
Mn: 0.0000 0.5000 0.5000 x2
Ni: 0.5000 0.5000 0.5000 x1
Sb: 0.5000 0.5000 0.0000 x1

Values from the calculation:
Uncorrected formation energy = 12.289 kcal/mol of atoms
DOS at the Fermi energy = 4.0 states/eV/cell
Crystal system = tetragonal

---

Density functional theory data (PBE) for a relaxed La2Hg crystal.

a = 5.4272 Å, b = 5.4272 Å, c = 3.7047 Å
α = 90.00°, β = 90.00°, γ = 90.00°
Space group P4/mmm (No. 123)
Inequivalent atoms, fractional coordinates:
La: 0.0000 0.5000 0.0000 x2
Hg: 0.0000 0.0000 0.5000 x1

Values from the calculation:
DOS at the Fermi energy = 4.5 states/eV/cell
Formation energy from the elements = -0.127 eV per atom
Crystal system = tetragonal